Compound: Na2PdSe2
Source: the Open Quantum Materials Database
Functional: PBE
Structure: relaxed

Lattice parameters (Å, degrees): 5.655 5.655 11.190 90.00 90.00 141.53
Element x y z (fractional)
1 Pd 0.635 0.365 0.252
2 Na 0.935 0.065 0.370
3 Na 0.676 0.324 0.594
4 Na 0.324 0.676 0.094
5 Se 0.047 0.953 0.130
6 Se 0.222 0.778 0.375
7 Pd 0.365 0.635 0.752
8 Se 0.778 0.222 0.875
9 Na 0.065 0.935 0.870
10 Se 0.953 0.047 0.630

Calculated values
Density in g/cm3: 4.6
Crystal system: orthorhombic
Total energy in eV per atom: -3.77


Compound: SrSbAu
Source: the Open Quantum Materials Database
Functional: PBE
Structure: relaxed

Lattice parameters (Å, degrees): 7.680 7.680 4.681 90.00 90.00 120.00
Element x y z (fractional)
1 Sr 0.000 0.581 0.500
2 Sb 0.000 0.000 0.500
3 Sb 0.333 0.667 0.000
4 Sr 0.581 0.000 0.500
5 Au 0.746 0.746 0.000
6 Au 0.254 0.000 0.000
7 Sr 0.419 0.419 0.500
8 Au 0.000 0.254 0.000
9 Sb 0.667 0.333 0.000

Calculated values
Density in g/cm3: 8.5
Crystal system: hexagonal
Total energy in eV per atom: -3.78


Compound: MgNi
Source: the Open Quantum Materials Database
Functional: PBE
Structure: relaxed

Lattice parameters (Å, degrees): 9.782 2.863 4.291 90.00 90.00 90.00
Element x y z (fractional)
1 Ni 0.451 0.500 0.500
2 Mg 0.880 0.500 0.500
3 Ni 0.649 0.000 0.500
4 Ni 0.268 0.500 0.000
5 Ni 0.466 0.000 0.000
6 Mg 0.232 0.000 0.500
7 Mg 0.036 0.000 0.000
8 Mg 0.684 0.500 0.000

Calculated values
Density in g/cm3: 4.6
Crystal system: orthorhombic
Total energy in eV per atom: -3.58


Compound: KGdAg
Source: the Open Quantum Materials Database
Functional: PBE
Structure: relaxed

Lattice parameters (Å, degrees): 5.178 5.178 5.178 60.00 60.00 60.00
Last column: magnetic moment on the atom in μB.
Element x y z (fractional)
1 K 0.750 0.750 0.750  0.02
2 Ag 0.000 0.000 0.000  0.01
3 Gd 0.500 0.500 0.500  0.26

Calculated values
Density in g/cm3: 5.1
Crystal system: cubic
Total energy in eV per atom: -1.92


Compound: PrAlAsPd2
Source: the Open Quantum Materials Database
Functional: PBE
Structure: relaxed

Lattice parameters (Å, degrees): 4.337 4.337 10.303 90.00 90.00 90.00
Element x y z (fractional)
1 Pd 0.500 0.000 0.123
2 Pr 0.000 0.500 0.263
3 Pr 0.500 0.000 0.737
4 Pd 0.000 0.000 0.500
5 As 0.000 0.500 0.640
6 Pd 0.000 0.500 0.877
7 Pd 0.500 0.500 0.500
8 Al 0.500 0.500 0.000
9 Al 0.000 0.000 0.000
10 As 0.500 0.000 0.360

Calculated values
Density in g/cm3: 7.8
Crystal system: tetragonal
Total energy in eV per atom: -5.65


Compound: Gd2Er
Source: the Open Quantum Materials Database
Functional: PBE
Structure: relaxed

Lattice parameters (Å, degrees): 8.860 8.860 8.860 60.00 60.00 60.00
Element x y z (fractional)
1 Gd 0.375 0.375 0.375
2 Gd 0.375 0.875 0.375
3 Er 0.250 0.250 0.250
4 Gd 0.375 0.375 0.875
5 Er 0.500 0.500 0.500
6 Gd 0.875 0.375 0.375

Calculated values
Calculated formation energy in eV/atom: 2.56
Density in g/cm3: 3.3
Crystal system: cubic
Total energy in eV per atom: -2.07